CeEuBiAu | GGA-PBE | optimized geometry

Unit cell a=5.479 b=5.479 c=5.479 alpha=60.00 beta=60.00 gamma=60.00
Atoms (fractional coordinates):
Ce 0.000 0.000 0.000
Eu 0.500 0.500 0.500
Bi 0.750 0.750 0.750
Au 0.250 0.250 0.250

Properties
Space group: F-43m (216)


CeGa2BiAu5 | GGA-PBE | optimized geometry

Unit cell a=4.613 b=4.613 c=8.924 alpha=90.00 beta=90.00 gamma=90.00
Atoms (fractional coordinates):
Ce 0.000 0.000 0.000
Ga 0.500 0.500 0.139
Ga 0.500 0.500 0.861
Bi 0.000 0.000 0.500
Au 0.000 0.500 0.268
Au 0.000 0.500 0.732
Au 0.500 0.000 0.268
Au 0.500 0.000 0.732
Au 0.500 0.500 0.500

Properties
Space group: P4/mmm (123)


CeGaBiAu | GGA-PBE | optimized geometry

Unit cell a=5.186 b=5.186 c=5.186 alpha=60.00 beta=60.00 gamma=60.00
Atoms (fractional coordinates):
Ce 0.000 0.000 0.000
Ga 0.250 0.250 0.250
Bi 0.500 0.500 0.500
Au 0.750 0.750 0.750

Properties
Space group: F-43m (216)


CeInBiAu | GGA-PBE | optimized geometry

Unit cell a=5.319 b=5.319 c=5.319 alpha=60.00 beta=60.00 gamma=60.00
Atoms (fractional coordinates):
Ce 0.000 0.000 0.000
In 0.500 0.500 0.500
Bi 0.750 0.750 0.750
Au 0.250 0.250 0.250

Properties
Space group: F-43m (216)


no.,DFT formation energy (eV per formula unit)
1,-2.71
2,-3.10
3,-1.61
4,-1.48